1.
Below is Nd2Rh3Pb5 after structural relaxation, with properties calculated at the PBE level.

## Properties
As for the space group: Cmc2_1. The calculation puts the formation energy from the elements at -0.412 eV per atom. The value obtained for the total energy is -108.49 eV per cell. The calculation puts the density of states at the Fermi level at 11.8 states/eV per cell.

abc: 4.6095 7.5025 14.0008
angles: 90.00 99.47 90.00
Last column: nearest neighbours and their distance in Å.
Atoms (fractional coordinates):
Pb 0.4046 0.3838 0.8091  3 Rh 2.74-2.82
Rh 0.2229 0.2201 0.4458  7 Pb 2.81-2.92
Pb 0.1216 0.2523 0.2433  4 Rh 2.81-3.04
Nd 0.5255 0.2613 0.0510  3 Rh 2.88-3.19
Nd 0.4745 0.7613 0.9490  3 Rh 2.88-3.19
Rh 0.0485 0.9801 0.0969  5 Pb 2.74-2.89
Rh 0.7771 0.7201 0.5542  7 Pb 2.81-2.92
Rh 0.6051 0.5091 0.2103  6 Pb 2.81-3.04, 1 Nd 2.88
Rh 0.9515 0.4801 0.9031  5 Pb 2.74-2.89
Pb 0.8784 0.7523 0.7567  4 Rh 2.81-3.04
Pb 0.2907 0.5061 0.5814  3 Rh 2.83-2.85
Nd 0.8293 0.2203 0.6587  7 Pb 3.28-3.52, 2 Rh 3.33
Pb 0.0477 0.5956 0.0955  4 Rh 2.79-2.89
Pb 0.7048 0.4360 0.4096  4 Rh 2.81-2.92
Pb 0.5954 0.8838 0.1909  3 Rh 2.74-2.82
Pb 0.9523 0.0956 0.9045  4 Rh 2.79-2.89
Pb 0.7093 0.0061 0.4186  3 Rh 2.83-2.85
Pb 0.2952 0.9360 0.5904  4 Rh 2.81-2.92
Rh 0.3949 0.0091 0.7897  6 Pb 2.81-3.04, 1 Nd 2.88
Nd 0.1707 0.7203 0.3413  7 Pb 3.28-3.52, 2 Rh 3.33

2.
Below is NdRh2Pb2 after structural relaxation, with properties calculated at the PBE level.

## Properties
As for the space group: P2_1/m. The calculation puts the formation energy from the elements at -0.342 eV per atom. The value obtained for the total energy is -57.20 eV per cell. The calculation puts the density of states at the Fermi level at 5.9 states/eV per cell.

abc: 4.6757 5.2541 9.9349
angles: 106.22 90.00 90.00
Last column: nearest neighbours and their distance in Å.
Atoms (fractional coordinates):
Rh 0.7500 0.3116 0.4574  4 Pb 2.69-2.87
Pb 0.7500 0.7799 0.3949  5 Rh 2.67-2.87
Rh 0.7500 0.8589 0.1410  5 Pb 2.67-2.91
Nd 0.2500 0.2638 0.2597  5 Rh 3.02-3.16, 1 Pb 3.37
Rh 0.2500 0.1411 0.8590  5 Pb 2.67-2.91
Pb 0.2500 0.2201 0.6051  5 Rh 2.67-2.87
Rh 0.2500 0.6884 0.5426  4 Pb 2.69-2.87
Pb 0.7500 0.2879 0.0139  4 Rh 2.79-2.91
Nd 0.7500 0.7362 0.7403  5 Rh 3.02-3.16, 1 Pb 3.37
Pb 0.2500 0.7121 0.9861  4 Rh 2.79-2.91

3.
Below is Nd2Rh4Pb3 after structural relaxation, with properties calculated at the PBE level.

## Properties
As for the space group: Cmce. The calculation puts the formation energy from the elements at -0.437 eV per atom. The value obtained for the total energy is -107.99 eV per cell. The calculation puts the density of states at the Fermi level at 11.2 states/eV per cell.

abc: 6.2206 7.2991 9.1713
angles: 90.00 109.82 90.00
Last column: nearest neighbours and their distance in Å.
Atoms (fractional coordinates):
Rh 0.8251 0.2500 0.1502  3 Pb 2.73-2.78, 2 Nd 2.93, 2 Rh 2.98
Pb 0.5140 0.7500 0.5281  5 Rh 2.78-2.87
Pb 0.0140 0.7500 0.5281  5 Rh 2.78-2.87
Pb 0.0000 0.0000 0.0000  6 Rh 2.73-2.81
Rh 0.1749 0.7500 0.8498  3 Pb 2.73-2.78, 2 Nd 2.93, 2 Rh 2.98
Pb 0.5000 0.5000 0.0000  6 Rh 2.73-2.81
Rh 0.3379 0.4695 0.6759  5 Pb 2.81-2.87, 2 Rh 2.98, 1 Nd 3.00
Pb 0.4860 0.2500 0.4719  5 Rh 2.78-2.87
Nd 0.8987 0.4158 0.7974  3 Rh 2.93-3.00
Nd 0.6013 0.9158 0.2026  3 Rh 2.93-3.00
Nd 0.3987 0.0842 0.7974  3 Rh 2.93-3.00
Rh 0.6621 0.5305 0.3241  5 Pb 2.81-2.87, 2 Rh 2.98, 1 Nd 3.00
Pb 0.9860 0.2500 0.4719  5 Rh 2.78-2.87
Rh 0.8379 0.0305 0.6759  5 Pb 2.81-2.87, 2 Rh 2.98, 1 Nd 3.00
Rh 0.6749 0.7500 0.8498  3 Pb 2.73-2.78, 2 Nd 2.93, 2 Rh 2.98
Nd 0.1013 0.5842 0.2026  3 Rh 2.93-3.00
Rh 0.3251 0.2500 0.1502  3 Pb 2.73-2.78, 2 Nd 2.93, 2 Rh 2.98
Rh 0.1621 0.9695 0.3241  5 Pb 2.81-2.87, 2 Rh 2.98, 1 Nd 3.00

4.
Below is Nd12RhPb6 after structural relaxation, with properties calculated at the PBE level.

## Properties
As for the space group: R-3. The calculation puts the formation energy from the elements at -0.367 eV per atom. The value obtained for the total energy is -93.79 eV per cell. The calculation puts the density of states at the Fermi level at 21.9 states/eV per cell.

abc: 8.6852 8.6852 8.6852
angles: 92.05 92.05 92.05
Last column: nearest neighbours and their distance in Å.
Atoms (fractional coordinates):
Pb 0.8640 0.2594 0.6393  8 Nd 3.28-3.46
Nd 0.4497 0.8006 0.5790  4 Pb 3.28-3.35
Nd 0.9561 0.0833 0.3093  1 Rh 2.80
Nd 0.0439 0.9167 0.6907  1 Rh 2.80
Pb 0.2594 0.6393 0.8640  8 Nd 3.28-3.46
Pb 0.7406 0.3607 0.1360  8 Nd 3.28-3.46
Nd 0.9167 0.6907 0.0439  1 Rh 2.80
Nd 0.1994 0.4210 0.5503  4 Pb 3.28-3.35
Nd 0.6907 0.0439 0.9167  1 Rh 2.80
Rh 0.0000 0.0000 0.0000  6 Nd 2.80
Nd 0.4210 0.5503 0.1994  4 Pb 3.28-3.35
Nd 0.5503 0.1994 0.4210  4 Pb 3.28-3.35
Nd 0.0833 0.3093 0.9561  1 Rh 2.80
Pb 0.1360 0.7406 0.3607  8 Nd 3.28-3.46
Pb 0.6393 0.8640 0.2594  8 Nd 3.28-3.46
Pb 0.3607 0.1360 0.7406  8 Nd 3.28-3.46
Nd 0.3093 0.9561 0.0833  1 Rh 2.80
Nd 0.5790 0.4497 0.8006  4 Pb 3.28-3.35
Nd 0.8006 0.5790 0.4497  4 Pb 3.28-3.35